BaCuH3 | PBE-GGA | relaxed

Output
- mass density (g/cm³) = 4.538
- E above lowest polymorph (kcal/mol of atoms) = 0.00
- space-group type = No. 14
- energy (eV per atom) = -3.55

The structure in CIF format:
```
data_BaCuH3
_chemical_formula_sum 'Ba4 Cu4 H12'
_cell_length_a 5.744
_cell_length_b 4.565
_cell_length_c 11.600
_cell_angle_alpha 90.00
_cell_angle_beta 101.10
_cell_angle_gamma 90.00
_symmetry_space_group_name_H-M 'P 1'
_symmetry_Int_Tables_number 1
loop_
_symmetry_equiv_pos_as_xyz
'x,y,z'
loop_
_atom_site_label
_atom_site_fract_x
_atom_site_fract_y
_atom_site_fract_z
Ba1 0.197 0.179 0.148
Ba2 0.197 0.321 0.648
Ba3 0.803 0.679 0.352
Ba4 0.803 0.821 0.852
Cu1 0.331 0.524 0.920
Cu2 0.331 0.976 0.420
Cu3 0.669 0.024 0.580
Cu4 0.669 0.476 0.080
H1 0.090 0.179 0.398
H2 0.090 0.321 0.898
H3 0.305 0.741 0.311
H4 0.305 0.759 0.811
H5 0.401 0.662 0.060
H6 0.401 0.838 0.560
H7 0.599 0.162 0.440
H8 0.599 0.338 0.940
H9 0.695 0.241 0.189
H10 0.695 0.259 0.689
H11 0.910 0.679 0.102
H12 0.910 0.821 0.602
```

---

Na6B11C | PBE-GGA | relaxed

Output
- mass density (g/cm³) = 2.215
- E above lowest polymorph (kcal/mol of atoms) = 0.35
- space-group type = No. 155
- energy (eV per atom) = -4.75

The structure in CIF format:
```
data_Na6B11C
_chemical_formula_sum 'Na6 B11 C1'
_cell_length_a 9.152
_cell_length_b 9.152
_cell_length_c 9.152
_cell_angle_alpha 32.93
_cell_angle_beta 32.93
_cell_angle_gamma 32.93
_symmetry_space_group_name_H-M 'P 1'
_symmetry_Int_Tables_number 1
loop_
_symmetry_equiv_pos_as_xyz
'x,y,z'
loop_
_atom_site_label
_atom_site_fract_x
_atom_site_fract_y
_atom_site_fract_z
Na1 0.083 0.416 0.749
Na2 0.251 0.584 0.917
Na3 0.416 0.749 0.083
Na4 0.584 0.917 0.251
Na5 0.749 0.083 0.416
Na6 0.917 0.251 0.584
B1 0.000 0.684 0.316
B2 0.167 0.167 0.167
B3 0.167 0.833 0.500
B4 0.316 0.000 0.684
B5 0.333 0.333 0.333
B6 0.500 0.167 0.833
B7 0.500 0.500 0.500
B8 0.667 0.667 0.667
B9 0.684 0.316 0.000
B10 0.833 0.500 0.167
B11 0.833 0.833 0.833
C1 0.000 0.000 0.000
```

---

CaDy4Pd5 | PBE-GGA | relaxed

Output
- mass density (g/cm³) = 9.338
- space-group type = No. 123
- energy (eV per atom) = -5.50

The structure in CIF format:
```
data_CaDy4Pd5
_chemical_formula_sum 'Ca1 Dy4 Pd5'
_cell_length_a 3.480
_cell_length_b 3.480
_cell_length_c 17.947
_cell_angle_alpha 90.00
_cell_angle_beta 90.00
_cell_angle_gamma 90.00
_symmetry_space_group_name_H-M 'P 1'
_symmetry_Int_Tables_number 1
loop_
_symmetry_equiv_pos_as_xyz
'x,y,z'
loop_
_atom_site_label
_atom_site_fract_x
_atom_site_fract_y
_atom_site_fract_z
Ca1 0.000 0.000 0.000
Dy1 0.000 0.000 0.201
Dy2 0.000 0.000 0.401
Dy3 0.000 0.000 0.599
Dy4 0.000 0.000 0.799
Pd1 0.500 0.500 0.111
Pd2 0.500 0.500 0.302
Pd3 0.500 0.500 0.500
Pd4 0.500 0.500 0.698
Pd5 0.500 0.500 0.889
```